<a>
Compound: Hf2V3Ru
Source: Alexandria
Functional: PBE-GGA
Structure: optimized geometry

```
Hf2V3Ru
1.0
4.599 -0.138 -2.415
-2.925 4.290 -0.222
-0.235 0.111 5.144
V Ru Hf
3 1 2
Direct
0.500 0.500 0.500
0.500 0.000 0.500
0.000 0.000 0.500
0.000 0.000 0.000
0.750 0.375 0.125
0.250 0.625 0.875
```

Summary:
Total magnetic moment ... 0.00 μB per cell

<b>
Compound: Hf2V3Ru
Source: Alexandria
Functional: PBE-GGA
Structure: optimized geometry

```
Hf2V3Ru
1.0
5.237 0.000 0.000
-2.619 4.535 0.000
0.000 0.000 8.257
V Hf Ru
6 4 2
Direct
0.659 0.830 0.750
0.170 0.341 0.750
0.830 0.659 0.250
0.341 0.170 0.250
0.830 0.170 0.250
0.170 0.830 0.750
0.667 0.333 0.560
0.667 0.333 0.940
0.333 0.667 0.060
0.333 0.667 0.440
0.000 0.000 0.000
0.000 0.000 0.500
```

Summary:
Total magnetic moment ... 0.00 μB per cell

Stability, descending: <a>, <b>

<a>
Compound: YHf3Ru
Source: Alexandria
Functional: PBE-GGA
Structure: optimized geometry

```
YHf3Ru
1.0
4.982 0.000 0.000
0.000 4.982 0.000
0.000 0.000 4.982
Hf Ru Y
3 1 1
Direct
0.000 0.500 0.000
0.500 0.000 0.000
0.000 0.000 0.500
0.500 0.500 0.500
0.000 0.000 0.000
```

Summary:
Total magnetic moment ... 0.00 μB per cell

<b>
Compound: YHf3Ru
Source: Alexandria
Functional: PBE-GGA
Structure: optimized geometry

```
YHf3Ru
1.0
-3.665 -2.340 -2.521
0.384 -3.939 3.098
-3.418 2.066 3.052
Hf Y Ru
3 1 1
Direct
0.000 0.000 0.500
0.500 0.000 0.000
0.000 0.500 0.000
0.500 0.500 0.500
0.000 0.000 0.000
```

Summary:
Total magnetic moment ... 0.00 μB per cell

Stability, descending: <b>, <a>